Record 1
# BaMn2AsN2 PBE-GGA optimized geometry
data_BaMn2AsN2
_cell_length_a 6.499
_cell_length_b 4.941
_cell_length_c 7.403
_cell_angle_alpha 90.00
_cell_angle_beta 111.23
_cell_angle_gamma 90.00
_symmetry_space_group_name_H-M 'P 1 21/m 1'
_symmetry_Int_Tables_number 11
loop_
_symmetry_equiv_pos_as_xyz
'x,y,z'
'-x,-y,-z'
'-x,y+1/2,-z'
'x,-y+1/2,z'
loop_
_atom_site_label
_atom_site_fract_x
_atom_site_fract_y
_atom_site_fract_z
Ba1 0.182 0.250 0.346
Mn1 0.370 0.000 0.818
As1 0.290 0.750 0.064
N1 0.165 0.250 0.723
N2 0.386 0.750 0.653
# Uncorrected formation energy, eV/atom: -0.573
# Uncorrected energy, eV/atom: -7.500

Record 2
# PIrAu PBE-GGA optimized geometry
data_PIrAu
_cell_length_a 3.594
_cell_length_b 3.596
_cell_length_c 4.910
_cell_angle_alpha 74.98
_cell_angle_beta 74.91
_cell_angle_gamma 60.20
_symmetry_space_group_name_H-M 'P 1'
_symmetry_Int_Tables_number 1
loop_
_symmetry_equiv_pos_as_xyz
'x,y,z'
loop_
_atom_site_label
_atom_site_fract_x
_atom_site_fract_y
_atom_site_fract_z
P1 0.000 0.000 0.000
Ir1 0.285 0.286 0.193
Au1 0.545 0.548 0.603
# Uncorrected energy, eV/atom: -5.993
# DFT formation energy, meV/atom: -143
# ΔE to the lowest computed polymorph, meV per atom: 11